Entry 1:
DFT (PBE) results for a geometry-optimized Ho4Sc3Al4 structure.

Cell: 3.2807 8.9953 10.1886 Å, 116.20 99.26 90.00°
Fractional coordinates of all 11 atoms:
1 Ho 0.3382 0.1571 0.6764
2 Ho 0.6618 0.4808 0.3236
3 Ho 0.6618 0.8429 0.3236
4 Ho 0.3382 0.5192 0.6764
5 Sc 0.0920 0.0920 0.1840
6 Sc 0.9080 0.9080 0.8160
7 Sc 0.0000 0.5000 0.0000
8 Al 0.2769 0.7769 0.5538
9 Al 0.7231 0.2231 0.4462
10 Al 0.5000 0.7806 0.0000
11 Al 0.5000 0.2194 0.0000

E_tot: -4.977 eV per atom
symmetry: Immm, No. 71

Entry 2:
DFT (PBE) results for a geometry-optimized HoSc2Al3 structure.

Cell: 3.4415 3.4415 10.3452 Å, 90.00 90.00 90.00°
Fractional coordinates of all 6 atoms:
1 Ho 0.5000 0.5000 0.5000
2 Sc 0.5000 0.5000 0.8409
3 Sc 0.5000 0.5000 0.1591
4 Al 0.0000 0.0000 0.0000
5 Al 0.0000 0.0000 0.6847
6 Al 0.0000 0.0000 0.3153

E_tot: -5.172 eV per atom
symmetry: P4/mmm, No. 123

Entry 3:
DFT (PBE) results for a geometry-optimized Ho2ScAl2 structure.

Cell: 4.5623 5.8054 5.8054 Å, 65.34 66.86 66.86°
Fractional coordinates of all 5 atoms:
1 Ho 0.1984 0.3016 0.3016
2 Ho 0.8016 0.6984 0.6984
3 Sc 0.0000 0.0000 0.0000
4 Al 0.5000 0.2889 0.7111
5 Al 0.5000 0.7111 0.2889

E_tot: -4.909 eV per atom
symmetry: Immm, No. 71

Entry 4:
DFT (PBE) results for a geometry-optimized HoSc2Al structure.

Cell: 3.5127 5.1106 6.1655 Å, 114.54 106.55 90.00°
Fractional coordinates of all 4 atoms:
1 Ho 0.0000 0.5000 0.0000
2 Sc 0.7804 0.7804 0.5608
3 Sc 0.2196 0.2196 0.4392
4 Al 0.5000 0.0000 0.0000

symmetry: Immm, No. 71
ΔE to the lowest computed polymorph: 0.000 eV/atom

Entry 5:
DFT (PBE) results for a geometry-optimized Ho3ScAl3 structure.

Cell: 7.1055 7.1055 6.7567 Å, 90.00 90.00 87.52°
Fractional coordinates of all 14 atoms:
1 Ho 0.7458 0.7458 0.5000
2 Ho 0.2508 0.7492 0.5000
3 Ho 0.7492 0.2508 0.5000
4 Ho 0.2843 0.7157 0.0000
5 Ho 0.7157 0.2843 0.0000
6 Ho 0.2542 0.2542 0.5000
7 Sc 0.7577 0.7577 0.0000
8 Sc 0.2423 0.2423 0.0000
9 Al 0.0000 0.0000 0.2236
10 Al 0.0000 0.5000 0.7671
11 Al 0.5000 0.0000 0.7671
12 Al 0.0000 0.5000 0.2329
13 Al 0.5000 0.0000 0.2329
14 Al 0.0000 0.0000 0.7764

E_tot: -4.746 eV per atom
symmetry: Cmmm, No. 65

Entry 6:
DFT (PBE) results for a geometry-optimized Ho2Sc2Al3 structure.

Cell: 3.2532 3.2479 15.1320 Å, 90.00 83.83 90.00°
Each line ends with the local moment (μB).
Fractional coordinates of all 7 atoms:
1 Ho 0.5692 0.5000 0.8617  0.00
2 Ho 0.4308 0.5000 0.1383  0.00
3 Sc 0.7018 0.5000 0.5964  0.12
4 Sc 0.2982 0.5000 0.4036  0.12
5 Al 0.8594 0.0000 0.2811  0.00
6 Al 0.0000 0.0000 0.0000  0.00
7 Al 0.1406 0.0000 0.7189  0.00

E_tot: -4.995 eV per atom
symmetry: Cmmm, No. 65